CsTe6RhAu: relaxed, PBE.

The structure in CIF format:
```
data_CsTe6RhAu
_chemical_formula_sum 'Cs2 Te12 Rh2 Au2'
_space_group_name_H-M_alt 'P 1'
_space_group_IT_number 1
_cell_length_a 9.155
_cell_length_b 10.120
_cell_length_c 9.614
_cell_angle_alpha 121.76
_cell_angle_beta 118.43
_cell_angle_gamma 90.00
loop_
_space_group_symop_operation_xyz
'x,y,z'
loop_
_atom_site_label
_atom_site_type_symbol
_atom_site_fract_x
_atom_site_fract_y
_atom_site_fract_z
Te1 Te 0.854 0.104 0.708
Te2 Te 0.869 0.671 0.273
Te3 Te 0.131 0.898 0.727
Te4 Te 0.587 0.337 0.174
Te5 Te 0.146 0.896 0.292
Te6 Te 0.596 0.329 0.727
Te7 Te 0.869 0.102 0.273
Te8 Te 0.413 0.663 0.826
Te9 Te 0.404 0.671 0.273
Te10 Te 0.596 0.898 0.727
Te11 Te 0.131 0.329 0.727
Te12 Te 0.404 0.102 0.273
Rh1 Rh 0.500 0.000 0.500
Rh2 Rh 0.000 0.000 0.500
Cs1 Cs 0.866 0.616 0.732
Cs2 Cs 0.134 0.384 0.268
Au1 Au 0.500 0.500 0.000
Au2 Au 0.500 0.000 0.000
```

## Properties
Energy relative to the elements, uncorrected: -0.207 eV/atom
Symmetry: Imma (74)
Raw total energy: -3.578 eV per atom